(a)
First-principles (PBE-GGA) data for a geometry-optimized Ba2NbH structure, as listed in the Alexandria database.

Computed properties:
For the volume, the calculation gives 33.90 A^3/atom. The total moment comes out at 1.1125 μB per atom.

```
data_Ba2NbH
_chemical_formula_sum 'Ba8 Nb4 H4'
_space_group_name_H-M_alt 'F m -3 m'
_space_group_IT_number 225
_space_group_name_Hall '-F 4 2 3'
_cell_length_a 8.1555
_cell_length_b 8.1555
_cell_length_c 8.1555
_cell_angle_alpha 90.00
_cell_angle_beta 90.00
_cell_angle_gamma 90.00
loop_
_atom_site_label
_atom_site_fract_x
_atom_site_fract_y
_atom_site_fract_z
Ba1 0.2500 0.2500 0.2500
Nb1 0.0000 0.0000 0.0000
H1 0.0000 0.0000 0.5000
```

---

(b)
First-principles (PBE-GGA) data for a geometry-optimized Ba2NbH structure, as listed in the Alexandria database.

Computed properties:
For the volume, the calculation gives 33.49 A^3/atom. The total moment comes out at 1.0836 μB per atom.

```
data_Ba2NbH
_chemical_formula_sum 'Ba8 Nb4 H4'
_space_group_name_H-M_alt 'I -4 2 d'
_space_group_IT_number 122
_space_group_name_Hall 'I -4 2bw'
_cell_length_a 8.0714
_cell_length_b 8.0714
_cell_length_c 8.2244
_cell_angle_alpha 90.00
_cell_angle_beta 90.00
_cell_angle_gamma 90.00
loop_
_atom_site_label
_atom_site_fract_x
_atom_site_fract_y
_atom_site_fract_z
Ba1 0.1547 0.2500 0.1250
Nb1 0.0000 0.0000 0.5000
H1 0.0000 0.0000 0.0000
```

---

Most stable to least stable, the ends of the list are (b) and (a).

---

(a)
First-principles (PBE-GGA) data for a geometry-optimized BaNbH3 structure, as listed in the Alexandria database.

Computed properties:
For the volume, the calculation gives 20.96 A^3/atom. The total moment comes out at 0.7890 μB per atom.

```
data_BaNbH3
_chemical_formula_sum 'Ba1 Nb1 H3'
_space_group_name_H-M_alt 'P m -3 m'
_space_group_IT_number 221
_space_group_name_Hall '-P 4 2 3'
_cell_length_a 4.7150
_cell_length_b 4.7150
_cell_length_c 4.7150
_cell_angle_alpha 90.00
_cell_angle_beta 90.00
_cell_angle_gamma 90.00
loop_
_atom_site_label
_atom_site_fract_x
_atom_site_fract_y
_atom_site_fract_z
Ba1 0.0000 0.0000 0.0000
Nb1 0.5000 0.5000 0.5000
H1 0.0000 0.0000 0.5000
```

---

(b)
First-principles (PBE-GGA) data for a geometry-optimized BaNbH3 structure, as listed in the Alexandria database.

Computed properties:
For the volume, the calculation gives 13.95 A^3/atom. The total moment comes out at 0.4000 μB per atom.

```
data_BaNbH3
_chemical_formula_sum 'Ba1 Nb1 H3'
_space_group_name_H-M_alt 'P m -3 m'
_space_group_IT_number 221
_space_group_name_Hall '-P 4 2 3'
_cell_length_a 4.1163
_cell_length_b 4.1163
_cell_length_c 4.1163
_cell_angle_alpha 90.00
_cell_angle_beta 90.00
_cell_angle_gamma 90.00
loop_
_atom_site_label
_atom_site_fract_x
_atom_site_fract_y
_atom_site_fract_z
Ba1 0.0000 0.0000 0.0000
Nb1 0.5000 0.5000 0.5000
H1 0.0000 0.5000 0.5000
```

---

Most stable to least stable, the ends of the list are (b) and (a).

---

(a)
First-principles (PBE-GGA) data for a geometry-optimized Ba2NiH structure, as listed in the Alexandria database.

Computed properties:
For the volume, the calculation gives 33.52 A^3/atom. The total moment comes out at 0.0000 μB per atom.

```
data_Ba2NiH
_chemical_formula_sum 'Ba8 Ni4 H4'
_space_group_name_H-M_alt 'I -4 2 d'
_space_group_IT_number 122
_space_group_name_Hall 'I -4 2bw'
_cell_length_a 6.5777
_cell_length_b 6.5777
_cell_length_c 12.3951
_cell_angle_alpha 90.00
_cell_angle_beta 90.00
_cell_angle_gamma 90.00
loop_
_atom_site_label
_atom_site_fract_x
_atom_site_fract_y
_atom_site_fract_z
Ba1 0.2119 0.2500 0.1250
Ni1 0.0000 0.0000 0.5000
H1 0.0000 0.0000 0.0000
```

---

(b)
First-principles (PBE-GGA) data for a geometry-optimized Ba2NiH structure, as listed in the Alexandria database.

Computed properties:
For the volume, the calculation gives 29.15 A^3/atom. The total moment comes out at 0.0000 μB per atom.

```
data_Ba2NiH
_chemical_formula_sum 'Ba6 Ni3 H3'
_space_group_name_H-M_alt 'R -3 m'
_space_group_IT_number 166
_space_group_name_Hall '-R 3 2"'
_cell_length_a 4.3509
_cell_length_b 4.3509
_cell_length_c 21.3346
_cell_angle_alpha 90.00
_cell_angle_beta 90.00
_cell_angle_gamma 120.00
loop_
_atom_site_label
_atom_site_fract_x
_atom_site_fract_y
_atom_site_fract_z
Ba1 0.0000 0.0000 0.2484
Ni1 0.0000 0.0000 0.0000
H1 0.0000 0.0000 0.5000
```

---

Most stable to least stable, the ends of the list are (b) and (a).

---

(a)
First-principles (PBE-GGA) data for a geometry-optimized Ba2NiH structure, as listed in the Alexandria database.

Computed properties:
For the volume, the calculation gives 29.77 A^3/atom. The total moment comes out at 0.0000 μB per atom.

```
data_Ba2NiH
_chemical_formula_sum 'Ba6 Ni3 H3'
_space_group_name_H-M_alt 'R 3 m'
_space_group_IT_number 160
_space_group_name_Hall 'R 3 -2"'
_cell_length_a 4.2379
_cell_length_b 4.2379
_cell_length_c 22.9687
_cell_angle_alpha 90.00
_cell_angle_beta 90.00
_cell_angle_gamma 120.00
loop_
_atom_site_label
_atom_site_fract_x
_atom_site_fract_y
_atom_site_fract_z
Ba1 0.0000 0.0000 0.0000
Ba2 0.0000 0.0000 0.1718
Ni1 0.0000 0.0000 0.5859
H1 0.0000 0.0000 0.4177
```

---

(b)
First-principles (PBE-GGA) data for a geometry-optimized Ba2NiH structure, as listed in the Alexandria database.

Computed properties:
For the volume, the calculation gives 26.01 A^3/atom. The total moment comes out at 0.0000 μB per atom.

```
data_Ba2NiH
_chemical_formula_sum 'Ba8 Ni4 H4'
_space_group_name_H-M_alt 'F m -3 m'
_space_group_IT_number 225
_space_group_name_Hall '-F 4 2 3'
_cell_length_a 7.4660
_cell_length_b 7.4660
_cell_length_c 7.4660
_cell_angle_alpha 90.00
_cell_angle_beta 90.00
_cell_angle_gamma 90.00
loop_
_atom_site_label
_atom_site_fract_x
_atom_site_fract_y
_atom_site_fract_z
Ba1 0.2500 0.2500 0.2500
Ni1 0.0000 0.0000 0.0000
H1 0.0000 0.0000 0.5000
```

---

Most stable to least stable, the ends of the list are (a) and (b).

---

(a)
First-principles (PBE-GGA) data for a geometry-optimized BaNiH2 structure, as listed in the Alexandria database.

Computed properties:
For the volume, the calculation gives 18.97 A^3/atom. The total moment comes out at 0.0200 μB per atom.

```
data_BaNiH2
_chemical_formula_sum 'Ba3 Ni3 H6'
_space_group_name_H-M_alt 'R -3 m'
_space_group_IT_number 166
_space_group_name_Hall '-R 3 2"'
_cell_length_a 4.5326
_cell_length_b 4.5326
_cell_length_c 12.7967
_cell_angle_alpha 90.00
_cell_angle_beta 90.00
_cell_angle_gamma 120.00
loop_
_atom_site_label
_atom_site_fract_x
_atom_site_fract_y
_atom_site_fract_z
Ba1 0.0000 0.0000 0.0000
Ni1 0.0000 0.0000 0.5000
H1 0.0000 0.0000 0.3796
```

---

(b)
First-principles (PBE-GGA) data for a geometry-optimized BaNiH2 structure, as listed in the Alexandria database.

Computed properties:
For the volume, the calculation gives 16.12 A^3/atom. The total moment comes out at 0.2488 μB per atom.

```
data_BaNiH2
_chemical_formula_sum 'Ba4 Ni4 H8'
_space_group_name_H-M_alt 'F m -3 m'
_space_group_IT_number 225
_space_group_name_Hall '-F 4 2 3'
_cell_length_a 6.3655
_cell_length_b 6.3655
_cell_length_c 6.3655
_cell_angle_alpha 90.00
_cell_angle_beta 90.00
_cell_angle_gamma 90.00
loop_
_atom_site_label
_atom_site_fract_x
_atom_site_fract_y
_atom_site_fract_z
Ba1 0.0000 0.0000 0.0000
Ni1 0.0000 0.0000 0.5000
H1 0.2500 0.2500 0.2500
```

---

Most stable to least stable, the ends of the list are (a) and (b).

---

(a)
First-principles (PBE-GGA) data for a geometry-optimized Ba2NiH2 structure, as listed in the Alexandria database.

Computed properties:
For the volume, the calculation gives 23.85 A^3/atom. The total moment comes out at 0.0000 μB per atom.

```
data_Ba2NiH2
_chemical_formula_sum 'Ba4 Ni2 H4'
_space_group_name_H-M_alt 'I 4/m m m'
_space_group_IT_number 139
_space_group_name_Hall '-I 4 2'
_cell_length_a 4.1086
_cell_length_b 4.1086
_cell_length_c 14.1307
_cell_angle_alpha 90.00
_cell_angle_beta 90.00
_cell_angle_gamma 90.00
loop_
_atom_site_label
_atom_site_fract_x
_atom_site_fract_y
_atom_site_fract_z
Ba1 0.0000 0.0000 0.1356
Ni1 0.0000 0.0000 0.5000
H1 0.0000 0.5000 0.2500
```

---

(b)
First-principles (PBE-GGA) data for a geometry-optimized Ba2NiH2 structure, as listed in the Alexandria database.

Computed properties:
For the volume, the calculation gives 20.50 A^3/atom. The total moment comes out at 0.0000 μB per atom.

```
data_Ba2NiH2
_chemical_formula_sum 'Ba4 Ni2 H4'
_space_group_name_H-M_alt 'P 4/m b m'
_space_group_IT_number 127
_space_group_name_Hall '-P 4 2ab'
_cell_length_a 7.6144
_cell_length_b 7.6144
_cell_length_c 3.5360
_cell_angle_alpha 90.00
_cell_angle_beta 90.00
_cell_angle_gamma 90.00
loop_
_atom_site_label
_atom_site_fract_x
_atom_site_fract_y
_atom_site_fract_z
Ba1 0.1828 0.3172 0.0000
Ni1 0.0000 0.0000 0.5000
H1 0.1197 0.6197 0.5000
```

---

Most stable to least stable, the ends of the list are (a) and (b).

---

(a)
First-principles (PBE-GGA) data for a geometry-optimized BaNi2H2 structure, as listed in the Alexandria database.

Computed properties:
For the volume, the calculation gives 14.26 A^3/atom. The total moment comes out at 0.0000 μB per atom.

```
data_BaNi2H2
_chemical_formula_sum 'Ba2 Ni4 H4'
_space_group_name_H-M_alt 'P 4/m b m'
_space_group_IT_number 127
_space_group_name_Hall '-P 4 2ab'
_cell_length_a 6.9275
_cell_length_b 6.9275
_cell_length_c 2.9724
_cell_angle_alpha 90.00
_cell_angle_beta 90.00
_cell_angle_gamma 90.00
loop_
_atom_site_label
_atom_site_fract_x
_atom_site_fract_y
_atom_site_fract_z
Ba1 0.0000 0.0000 0.0000
Ni1 0.1111 0.3889 0.5000
H1 0.0901 0.5901 0.0000
```

---

(b)
First-principles (PBE-GGA) data for a geometry-optimized BaNi2H2 structure, as listed in the Alexandria database.

Computed properties:
For the volume, the calculation gives 13.89 A^3/atom. The total moment comes out at 0.0000 μB per atom.

```
data_BaNi2H2
_chemical_formula_sum 'Ba2 Ni4 H4'
_space_group_name_H-M_alt 'I 4/m m m'
_space_group_IT_number 139
_space_group_name_Hall '-I 4 2'
_cell_length_a 3.6106
_cell_length_b 3.6106
_cell_length_c 10.6517
_cell_angle_alpha 90.00
_cell_angle_beta 90.00
_cell_angle_gamma 90.00
loop_
_atom_site_label
_atom_site_fract_x
_atom_site_fract_y
_atom_site_fract_z
Ba1 0.0000 0.0000 0.0000
Ni1 0.0000 0.5000 0.2500
H1 0.0000 0.0000 0.2627
```

---

Most stable to least stable, the ends of the list are (b) and (a).

---

(a)
First-principles (PBE-GGA) data for a geometry-optimized BaNiH6 structure, as listed in the Alexandria database.

Computed properties:
For the volume, the calculation gives 11.09 A^3/atom. The total moment comes out at 0.0000 μB per atom.

```
data_BaNiH6
_chemical_formula_sum 'Ba3 Ni3 H18'
_space_group_name_H-M_alt 'R -3 m'
_space_group_IT_number 166
_space_group_name_Hall '-R 3 2"'
_cell_length_a 5.0103
_cell_length_b 5.0103
_cell_length_c 12.2481
_cell_angle_alpha 90.00
_cell_angle_beta 90.00
_cell_angle_gamma 120.00
loop_
_atom_site_label
_atom_site_fract_x
_atom_site_fract_y
_atom_site_fract_z
Ba1 0.0000 0.0000 0.0000
Ni1 0.0000 0.0000 0.5000
H1 0.0450 0.5225 0.0983
```

---

(b)
First-principles (PBE-GGA) data for a geometry-optimized BaNiH6 structure, as listed in the Alexandria database.

Computed properties:
For the volume, the calculation gives 11.19 A^3/atom. The total moment comes out at 0.0053 μB per atom.

```
data_BaNiH6
_chemical_formula_sum 'Ba2 Ni2 H12'
_space_group_name_H-M_alt 'C 1 2/m 1'
_space_group_IT_number 12
_space_group_name_Hall '-C 2y'
_cell_length_a 6.0683
_cell_length_b 6.7155
_cell_length_c 4.4947
_cell_angle_alpha 90.00
_cell_angle_beta 102.21
_cell_angle_gamma 90.00
loop_
_atom_site_label
_atom_site_fract_x
_atom_site_fract_y
_atom_site_fract_z
Ba1 0.0000 0.0000 0.0000
Ni1 0.0000 0.5000 0.5000
H1 0.0867 0.3425 0.7334
H2 0.2276 0.5000 0.4156
```

---

Most stable to least stable, the ends of the list are (a) and (b).